[1]
Compound: Ca3Mg5Sn2
Source: Alexandria via LeMat-Bulk
Functional: PBE-GGA
Structure: relaxed

Cell lengths 13.0065, 13.5169, 6.5241 Å; angles 90.00, 90.00, 90.00 degrees
Closest atoms and distances in Å follow each position.
Space group Ibam (No. 72)
Symmetry-distinct sites (fractional):
Ca  0.0000  0.0000  0.2500 (multiplicity 4)  4 Sn 3.15, 2 Ca 3.26, 2 Mg 3.38
Ca  0.1314  0.2432  0.0000 (multiplicity 8)  3 Sn 3.33-3.51, 4 Mg 3.51-3.59
Mg  0.0000  0.5000  0.2500 (multiplicity 4)  8 Mg 2.97-3.26
Mg  0.1136  0.3519  0.5000 (multiplicity 8)  1 Sn 2.79, 4 Mg 2.97-3.06
Mg  0.2398  0.5000  0.2500 (multiplicity 8)  2 Sn 3.01, 5 Mg 3.06-3.26
Sn  0.1395  0.1470  0.5000 (multiplicity 8)  3 Mg 2.79-3.01

Computed properties:
**DFT total energy**: -2.427 eV/atom

[2]
Compound: CsCdIr3
Source: Alexandria via LeMat-Bulk
Functional: PBE-GGA
Structure: relaxed

Cell lengths 5.0091, 5.0091, 5.0091 Å; angles 90.00, 90.00, 90.00 degrees
Closest atoms and distances in Å follow each position.
Space group Pm-3m (No. 221)
Symmetry-distinct sites (fractional):
Cs  0.0000  0.0000  0.0000 (multiplicity 1)  6 Ir 2.50
Cd  0.5000  0.5000  0.5000 (multiplicity 1)  12 Ir 3.54
Ir  0.0000  0.0000  0.5000 (multiplicity 3)  2 Cs 2.50

Computed properties:
**DFT total energy**: -2.810 eV/atom
**Energy above the most stable polymorph in this dataset**: 838 meV/atom

[3]
Compound: MgIrW2
Source: Alexandria via LeMat-Bulk
Functional: PBE-GGA
Structure: relaxed

Cell lengths 2.7688, 4.4165, 5.3032 Å; angles 90.00, 103.76, 90.00 degrees
Closest atoms and distances in Å follow each position.
Space group P2/m (No. 10)
Symmetry-distinct sites (fractional):
Mg  0.0000  0.0000  0.0000 (multiplicity 1)  2 Ir 2.65, 2 Mg 2.77, 4 W 2.78
Ir  0.0000  0.0000  0.5000 (multiplicity 1)  2 Mg 2.65, 4 W 2.76, 2 Ir 2.77
W  0.4903  0.5000  0.7519 (multiplicity 2)  4 W 2.62-2.77, 2 Ir 2.76, 2 Mg 2.78

Computed properties:
**DFT total energy**: -8.966 eV/atom

[4]
Compound: Ho6AlSn2
Source: Alexandria via LeMat-Bulk
Functional: PBE-GGA
Structure: relaxed

Cell lengths 5.0794, 7.1884, 15.2236 Å; angles 90.00, 90.00, 90.00 degrees
Closest atoms and distances in Å follow each position.
Space group Immm (No. 71)
Symmetry-distinct sites (fractional):
Ho  0.0000  0.2394  0.0000 (multiplicity 4)  2 Al 3.07, 2 Sn 3.15
Ho  0.0000  0.2551  0.3374 (multiplicity 8)  1 Al 3.04, 3 Sn 3.13-3.14
Al  0.0000  0.5000  0.5000 (multiplicity 2)  8 Ho 3.04-3.07
Sn  0.0000  0.5000  0.1665 (multiplicity 4)  8 Ho 3.13-3.15

Computed properties:
**DFT total energy**: -4.630 eV/atom

[5]
Compound: U2CoNi9
Source: Alexandria via LeMat-Bulk
Functional: PBE-GGA
Structure: relaxed

Cell lengths 3.8070, 3.8070, 10.7913 Å; angles 90.00, 90.00, 90.00 degrees
Closest atoms and distances in Å follow each position.
Space group P4/mmm (No. 123)
Symmetry-distinct sites (fractional):
U  0.0000  0.0000  0.1842 (multiplicity 2)  12 Ni 2.61-2.75
Co  0.0000  0.0000  0.5000 (multiplicity 1)  12 Ni 2.50-2.69
Ni  0.0000  0.5000  0.0000 (multiplicity 2)  8 Ni 2.66-2.69, 4 U 2.75
Ni  0.0000  0.5000  0.3498 (multiplicity 4)  2 Co 2.50, 8 Ni 2.50-2.70, 2 U 2.61
Ni  0.5000  0.5000  0.1728 (multiplicity 2)  8 Ni 2.66-2.70, 4 U 2.69
Ni  0.5000  0.5000  0.5000 (multiplicity 1)  8 Ni 2.50, 4 Co 2.69

Computed properties:
**DFT total energy**: -6.874 eV/atom

[6]
Compound: Hf2SeI
Source: Alexandria via LeMat-Bulk
Functional: PBE-GGA
Structure: relaxed

Cell lengths 4.9090, 4.9090, 17.5856 Å; angles 90.00, 90.00, 90.00 degrees
Closest atoms and distances in Å follow each position.
Space group I-42d (No. 122)
Symmetry-distinct sites (fractional):
Hf  0.2056  0.2500  0.1250 (multiplicity 8)  2 Se 2.71, 2 I 2.90
Se  0.0000  0.0000  0.0000 (multiplicity 4)  4 Hf 2.71
I  0.0000  0.0000  0.5000 (multiplicity 4)  4 Hf 2.90

Computed properties:
**DFT total energy**: -6.252 eV/atom
**Energy above the most stable polymorph in this dataset**: 227 meV/atom
**Uncorrected formation energy**: -0.017 eV/atom

[7]
Compound: NaSc2C
Source: Alexandria via LeMat-Bulk
Functional: PBE-GGA
Structure: relaxed

Cell lengths 6.7024, 6.7024, 9.2318 Å; angles 90.00, 90.00, 90.00 degrees
Closest atoms and distances in Å follow each position.
Space group I-42d (No. 122)
Symmetry-distinct sites (fractional):
Na  0.0000  0.0000  0.0000 (multiplicity 4)  4 Sc 3.44
Sc  0.0870  0.2500  0.6250 (multiplicity 8)  2 C 2.12
C  0.0000  0.0000  0.5000 (multiplicity 4)  4 Sc 2.12

Computed properties:
**DFT total energy**: -5.592 eV/atom

[8]
Compound: Al2CoTc
Source: Alexandria via LeMat-Bulk
Functional: PBE-GGA
Structure: relaxed

Cell lengths 2.6839, 4.0007, 5.0426 Å; angles 90.00, 97.01, 90.00 degrees
Closest atoms and distances in Å follow each position.
Space group P2/m (No. 10)
Symmetry-distinct sites (fractional):
Al  0.1875  0.0000  0.2574 (multiplicity 2)  2 Co 2.43, 2 Tc 2.58, 3 Al 2.67-2.68
Co  0.0000  0.5000  0.5000 (multiplicity 1)  4 Al 2.43, 2 Co 2.68, 2 Tc 2.71
Tc  0.5000  0.5000  0.0000 (multiplicity 1)  4 Al 2.58, 2 Tc 2.68, 2 Co 2.71

Computed properties:
**DFT total energy**: -6.468 eV/atom
**Energy above the most stable polymorph in this dataset**: 191 meV/atom

> Which of these has the highest DFT total energy?

Ca3Mg5Sn2